1.
A relaxed SrLa5 crystal. Source: Alexandria via LeMat-Bulk, functional GGA-PBEsol. Values from VASP.

Quantum ESPRESSO input file:
```
&SYSTEM
  ibrav = 0, nat = 6, ntyp = 2
/
ATOMIC_SPECIES
La 138.91 La.upf
Sr 87.62 Sr.upf
CELL_PARAMETERS angstrom
3.6874 0.0000 0.0000
-1.8437 6.9672 -0.0087
0.0000 -2.2790 8.5353
ATOMIC_POSITIONS angstrom
La 1.8437 1.4701 2.9403
Sr 0.0000 3.7831 0.4433
La 0.0000 0.1360 0.0232
La 1.8437 5.4018 3.4020
La 0.0000 3.1141 5.5930
La 1.8437 -0.2638 6.0685
```

## Properties
Density = 5.9 g cm⁻³
Total moment = 0.00 μB per formula unit
ΔE_f = 0.092 eV/atom

2.
A relaxed SrLa2 crystal. Source: Alexandria via LeMat-Bulk, functional GGA-PBEsol. Values from VASP.

Quantum ESPRESSO input file:
```
&SYSTEM
  ibrav = 0, nat = 3, ntyp = 2
/
ATOMIC_SPECIES
La 138.91 La.upf
Sr 87.62 Sr.upf
CELL_PARAMETERS angstrom
3.7814 0.0000 0.0000
-1.8907 3.2748 0.0000
0.0000 0.0000 9.4531
ATOMIC_POSITIONS angstrom
La 1.8907 1.0916 6.1328
La 0.0000 2.1832 3.3203
Sr 0.0000 0.0000 0.0000
```

## Properties
Density = 5.2 g cm⁻³
Total moment = 0.00 μB per formula unit
ΔE to the lowest computed polymorph = 19 meV/atom
ΔE_f = 0.100 eV/atom

3.
A relaxed Sr8La crystal. Source: Alexandria via LeMat-Bulk, functional GGA-PBEsol. Values from VASP.

Quantum ESPRESSO input file:
```
&SYSTEM
  ibrav = 0, nat = 9, ntyp = 2
/
ATOMIC_SPECIES
La 138.91 La.upf
Sr 87.62 Sr.upf
CELL_PARAMETERS angstrom
-5.5690 1.9723 -0.4595
-4.4757 -5.1493 -6.0687
-5.2037 -4.3700 6.0992
ATOMIC_POSITIONS angstrom
La 0.0000 0.0000 0.0000
Sr -4.9647 -4.6259 2.1039
Sr -3.5679 -0.7484 1.8198
Sr -7.2048 -1.6493 3.8199
Sr -6.9187 -1.8009 -0.2986
Sr -6.7125 -2.1763 -4.4076
Sr -3.3322 -1.0007 -2.1206
Sr -8.3298 -5.7461 -0.1304
Sr -4.7147 -4.8934 -2.0734
```

## Properties
Density = 3.2 g cm⁻³
Total moment = 1.23 μB per formula unit
ΔE_f = 0.079 eV/atom

Question: Number 1 is which compound?
Answer: SrLa5